Version 1
4
Lattice="3.709 -2.140 0.000 3.709 2.140 0.000 -2.463 0.000 7.482" Properties=species:S:1:pos:R:3 comment="PBE La2AuSe, relaxed" crystal_system=monoclinic dos_ef_per_ev_cell=4.7 pbc="T T T"
La 1.236 0.000 1.836
La 3.720 0.000 5.646
Au -1.231 0.000 3.741
Se 3.709 0.000 0.000

***

Version 2
4
Lattice="0.000 3.749 3.749 3.749 0.000 3.749 3.749 3.749 0.000" Properties=species:S:1:pos:R:3 comment="PBE La2AuSe, relaxed" crystal_system=cubic dos_ef_per_ev_cell=6.0 pbc="T T T"
La 1.875 1.875 1.875
La 5.624 5.624 5.624
Au 0.000 0.000 0.000
Se 3.749 3.749 3.749

***

Version 3
4
Lattice="2.106 1.216 7.829 -2.106 1.216 7.829 0.000 -2.432 7.829" Properties=species:S:1:pos:R:3 comment="PBE La2AuSe, relaxed" crystal_system=trigonal dos_ef_per_ev_cell=3.6 pbc="T T T"
La 0.000 0.000 0.000
La 0.000 0.000 4.027
Au 0.000 0.000 13.778
Se 0.000 0.000 9.813

***

Which one is most stable, and which one is least stable? version 1 is the most stable of them, while version 2 is the least stable.

***

Version 1
5
Lattice="-2.789 2.789 5.182 2.789 -2.789 5.182 2.789 2.789 -5.182" Properties=species:S:1:pos:R:3 comment="PBE La2AuSe2, relaxed" crystal_system=tetragonal dos_ef_per_ev_cell=2.6 pbc="T T T"
La 2.789 0.000 2.591
La 0.000 2.789 2.591
Au 0.000 0.000 0.000
Se 0.000 0.000 3.516
Se 0.000 0.000 6.847

***

Version 2
10
Lattice="8.322 0.000 0.000 0.000 8.322 0.000 0.000 0.000 3.787" Properties=species:S:1:pos:R:3 comment="PBE La2AuSe2, relaxed" crystal_system=tetragonal dos_ef_per_ev_cell=3.7 pbc="T T T"
La 1.371 2.790 0.000
La 2.790 6.951 0.000
La 5.532 1.371 0.000
La 6.951 5.532 0.000
Au 0.000 0.000 1.894
Au 4.161 4.161 1.894
Se 1.132 5.293 1.894
Se 3.029 1.132 1.894
Se 5.293 7.190 1.894
Se 7.190 3.029 1.894

***

Which one is most stable, and which one is least stable? version 2 is the most stable of them, while version 1 is the least stable.

***

Version 1
5
Lattice="5.047 0.000 0.000 0.000 5.047 0.000 0.000 0.000 5.047" Properties=species:S:1:pos:R:3 comment="PBE LaAu3Se, relaxed" crystal_system=cubic dos_ef_per_ev_cell=2.8 pbc="T T T"
La 0.000 0.000 0.000
Au 0.000 2.524 2.524
Au 2.524 0.000 2.524
Au 2.524 2.524 0.000
Se 2.524 2.524 2.524

***

Version 2
5
Lattice="5.707 0.000 0.000 0.000 5.707 0.000 0.000 0.000 5.707" Properties=species:S:1:pos:R:3 comment="PBE LaAu3Se, relaxed" crystal_system=cubic dos_ef_per_ev_cell=4.0 pbc="T T T"
La 0.000 0.000 0.000
Au 0.000 0.000 2.854
Au 0.000 2.854 0.000
Au 2.854 0.000 0.000
Se 2.854 2.854 2.854

***

Which one is most stable, and which one is least stable? version 1 is the most stable of them, while version 2 is the least stable.

***

Version 1
5
Lattice="3.206 -3.210 0.000 3.206 3.210 0.000 -3.182 0.000 5.192" Properties=species:S:1:pos:R:3 comment="PBE LaSiAu3, relaxed" crystal_system=monoclinic dos_ef_per_ev_cell=2.2 pbc="T T T"
La 0.000 0.000 0.000
Si 0.017 0.000 3.764
Au 1.615 1.610 2.729
Au 3.215 0.000 0.960
Au 1.615 -1.610 2.729

***

Version 2
5
Lattice="4.869 0.000 0.000 0.000 4.869 0.000 0.000 0.000 4.869" Properties=species:S:1:pos:R:3 comment="PBE LaSiAu3, relaxed" crystal_system=cubic dos_ef_per_ev_cell=3.3 pbc="T T T"
La 0.000 0.000 0.000
Si 2.435 2.435 2.435
Au 0.000 2.435 2.435
Au 2.435 0.000 2.435
Au 2.435 2.435 0.000

***

Which one is most stable, and which one is least stable? version 1 is the most stable of them, while version 2 is the least stable.